# 1
Computed, not measured: crystalline AcPH at its relaxed geometry at the GGA-PBE level of DFT.

```
data_AcPH
_chemical_formula_sum 'Ac2 P2 H2'
_cell_length_a 4.168
_cell_length_b 4.352
_cell_length_c 6.897
_cell_angle_alpha 96.91
_cell_angle_beta 107.57
_cell_angle_gamma 90.02
_space_group_name_H-M_alt 'P 1'
_space_group_IT_number 1
loop_
_space_group_symop_operation_xyz
'x,y,z'
loop_
_atom_site_label
_atom_site_fract_x
_atom_site_fract_y
_atom_site_fract_z
Ac1 0.137 0.234 0.273
Ac2 0.863 0.766 0.727
P1 0.433 0.317 0.866
P2 0.567 0.683 0.134
H1 0.249 0.771 0.498
H2 0.751 0.229 0.502
```

Values from the calculation:
* Fermi-level density of states: 0.154 states/eV per atom
* magnetic moment: 0.0 μB per formula unit
* crystal system: triclinic
* relative energy among the computed polymorphs: 0 meV/atom

***

# 2
Computed, not measured: crystalline Mn2AuSe at its relaxed geometry at the GGA-PBE level of DFT.

```
data_Mn2AuSe
_chemical_formula_sum 'Mn2 Au1 Se1'
_cell_length_a 3.338
_cell_length_b 3.338
_cell_length_c 6.126
_cell_angle_alpha 90.00
_cell_angle_beta 90.00
_cell_angle_gamma 90.00
_space_group_name_H-M_alt 'P 1'
_space_group_IT_number 1
loop_
_space_group_symop_operation_xyz
'x,y,z'
loop_
_atom_site_label
_atom_site_fract_x
_atom_site_fract_y
_atom_site_fract_z
Mn1 0.000 0.000 0.000
Mn2 0.500 0.500 0.260
Au1 0.500 0.500 0.782
Se1 0.000 0.000 0.418
```

Values from the calculation:
* Fermi-level density of states: 0.694 states/eV per atom
* magnetic moment: 7.3 μB per formula unit
* crystal system: tetragonal
* formation energy without anion corrections: 0.03 eV per atom

***

# 3
Computed, not measured: crystalline Re3MoCl at its relaxed geometry at the GGA-PBE level of DFT.

```
data_Re3MoCl
_chemical_formula_sum 'Re3 Mo1 Cl1'
_cell_length_a 4.801
_cell_length_b 4.801
_cell_length_c 4.801
_cell_angle_alpha 90.00
_cell_angle_beta 90.00
_cell_angle_gamma 90.00
_space_group_name_H-M_alt 'P 1'
_space_group_IT_number 1
loop_
_space_group_symop_operation_xyz
'x,y,z'
loop_
_atom_site_label
_atom_site_fract_x
_atom_site_fract_y
_atom_site_fract_z
Re1 0.000 0.000 0.500
Re2 0.000 0.500 0.000
Re3 0.500 0.000 0.000
Mo1 0.000 0.000 0.000
Cl1 0.500 0.500 0.500
```

Values from the calculation:
* Fermi-level density of states: 1.417 states/eV per atom
* magnetic moment: 3.9 μB per formula unit
* crystal system: cubic
* formation energy without anion corrections: 2.56 eV per atom
* relative energy among the computed polymorphs: 896 meV/atom

***

# 4
Computed, not measured: crystalline Mg2AlS3 at its relaxed geometry at the GGA-PBE level of DFT.

```
data_Mg2AlS3
_chemical_formula_sum 'Mg2 Al1 S3'
_cell_length_a 6.732
_cell_length_b 6.732
_cell_length_c 6.732
_cell_angle_alpha 140.79
_cell_angle_beta 60.12
_cell_angle_gamma 136.33
_space_group_name_H-M_alt 'P 1'
_space_group_IT_number 1
loop_
_space_group_symop_operation_xyz
'x,y,z'
loop_
_atom_site_label
_atom_site_fract_x
_atom_site_fract_y
_atom_site_fract_z
Mg1 0.164 0.000 0.164
Mg2 0.836 0.000 0.836
Al1 0.529 0.029 0.500
S1 0.069 0.728 0.341
S2 0.386 0.728 0.659
S3 0.686 0.686 0.000
```

Values from the calculation:
* Fermi-level density of states: 0.184 states/eV per atom
* magnetic moment: 0.0 μB per formula unit
* crystal system: orthorhombic
* formation energy without anion corrections: -1.06 eV per atom

***

Calculated volume, respectively: 59.2 68.2 110.6 131.8 Å³/f.u..
Theoretical density, respectively: 7.3 9.4 10.4 2.2 g cm⁻³.